# 1
Here is Ti2BiOsC after structural relaxation from Alexandria. Energies are from PBE.

ρ (g/cm³): 10.32
Energy (eV/cell): -38.4
Formation enthalpy at 0 K (eV/atom): 0.35
Total magnetic moment (Bohr magnetons per cell): 0.0

Unit cell a=4.1048 b=4.1048 c=4.8422 alpha=90.00 beta=90.00 gamma=90.00
Last column: nearest neighbours and their distance in Å.
Fractional coordinates of all 5 atoms:
Ti 0.0000 0.5000 0.0000  2 C 2.05
Ti 0.5000 0.0000 0.0000  2 C 2.05
Bi 0.0000 0.0000 0.5000  2 C 2.42
Os 0.5000 0.5000 0.5000  4 Bi 2.90, 8 Ti 3.17
C 0.0000 0.0000 0.0000  4 Ti 2.05

---

# 2
Here is BiP3C after structural relaxation from Alexandria. Energies are from PBE.

ρ (g/cm³): 3.38
Energy (eV/cell): -15.5
Formation enthalpy at 0 K (eV/atom): 2.76
Total magnetic moment (Bohr magnetons per cell): 1.8

Unit cell a=5.3645 b=5.3645 c=5.3645 alpha=90.00 beta=90.00 gamma=90.00
Last column: nearest neighbours and their distance in Å.
Fractional coordinates of all 5 atoms:
Bi 0.0000 0.0000 0.0000  6 P 2.68
P 0.0000 0.0000 0.5000  2 Bi 2.68
P 0.0000 0.5000 0.0000  2 Bi 2.68
P 0.5000 0.0000 0.0000  2 Bi 2.68
C 0.5000 0.5000 0.5000  12 P 3.79

---

# 3
Here is BiP3C after structural relaxation from Alexandria. Energies are from PBE.

ρ (g/cm³): 6.56
Energy (eV/cell): -23.9
Formation enthalpy at 0 K (eV/atom): 1.09
Total magnetic moment (Bohr magnetons per cell): 0.0

Unit cell a=4.2981 b=4.2981 c=4.2981 alpha=90.00 beta=90.00 gamma=90.00
Last column: nearest neighbours and their distance in Å.
Fractional coordinates of all 5 atoms:
Bi 0.0000 0.0000 0.0000  12 P 3.04
P 0.0000 0.5000 0.5000  2 C 2.15
P 0.5000 0.0000 0.5000  2 C 2.15
P 0.5000 0.5000 0.0000  2 C 2.15
C 0.5000 0.5000 0.5000  6 P 2.15

---

# 4
Here is Bi2PC after structural relaxation from Alexandria. Energies are from PBE.

ρ (g/cm³): 7.72
Energy (eV/cell): -36.5
Formation enthalpy at 0 K (eV/atom): 1.04
Total magnetic moment (Bohr magnetons per cell): 0.0

Unit cell a=6.5451 b=6.5451 c=6.5451 alpha=119.96 beta=119.96 gamma=90.08
Last column: nearest neighbours and their distance in Å.
Fractional coordinates of all 8 atoms:
Bi 0.0749 0.6250 0.9499  2 C 2.39
Bi 0.3750 0.3249 0.4499  2 C 2.39
Bi 0.6751 0.1250 0.0501  2 C 2.39
Bi 0.8750 0.9251 0.5501  2 C 2.39
P 0.2500 0.7500 0.5000  4 Bi 2.81
P 0.5000 0.5000 0.0000  4 Bi 2.81
C 0.0000 0.0000 0.0000  4 Bi 2.39
C 0.7500 0.2500 0.5000  4 Bi 2.39

---

# 5
Here is BiP2C after structural relaxation from Alexandria. Energies are from PBE.

ρ (g/cm³): 6.62
Energy (eV/cell): -16.5
Formation enthalpy at 0 K (eV/atom): 1.86
Total magnetic moment (Bohr magnetons per cell): 0.0

Unit cell a=4.6473 b=4.6473 c=4.6473 alpha=60.00 beta=60.00 gamma=60.00
Last column: nearest neighbours and their distance in Å.
Fractional coordinates of all 4 atoms:
Bi 0.0000 0.0000 0.0000  8 P 2.85
P 0.2500 0.2500 0.2500  4 Bi 2.85, 4 C 2.85
P 0.7500 0.7500 0.7500  4 Bi 2.85, 4 C 2.85
C 0.5000 0.5000 0.5000  8 P 2.85

---

# 6
Here is BiPC3 after structural relaxation from Alexandria. Energies are from PBE.

ρ (g/cm³): 8.10
Energy (eV/cell): -27.0
Formation enthalpy at 0 K (eV/atom): 1.99
Total magnetic moment (Bohr magnetons per cell): 0.0

Unit cell a=3.8390 b=3.8390 c=3.8390 alpha=90.00 beta=90.00 gamma=90.00
Last column: nearest neighbours and their distance in Å.
Fractional coordinates of all 5 atoms:
Bi 0.0000 0.0000 0.0000  12 C 2.71
P 0.5000 0.5000 0.5000  6 C 1.92
C 0.0000 0.5000 0.5000  2 P 1.92
C 0.5000 0.0000 0.5000  2 P 1.92
C 0.5000 0.5000 0.0000  2 P 1.92

---

# 7
Here is BiP2C after structural relaxation from Alexandria. Energies are from PBE.

ρ (g/cm³): 6.72
Energy (eV/cell): -42.1
Formation enthalpy at 0 K (eV/atom): 0.72
Total magnetic moment (Bohr magnetons per cell): 0.0

Unit cell a=5.7456 b=5.7456 c=5.7456 alpha=116.78 beta=116.78 gamma=95.67
Last column: nearest neighbours and their distance in Å.
Fractional coordinates of all 8 atoms:
Bi 0.0000 0.0000 0.0000  4 P 2.88
Bi 0.7500 0.2500 0.5000  4 P 2.88
P 0.2498 0.6250 0.1248  2 C 1.94
P 0.3750 0.4998 0.6248  2 C 1.94
P 0.5002 0.1250 0.8752  2 C 1.94
P 0.8750 0.7502 0.3752  2 C 1.94
C 0.2500 0.7500 0.5000  4 P 1.94
C 0.5000 0.5000 0.0000  4 P 1.94

---

# 8
Here is Bi2PC after structural relaxation from Alexandria. Energies are from PBE.

ρ (g/cm³): 9.39
Energy (eV/cell): -16.7
Formation enthalpy at 0 K (eV/atom): 1.43
Total magnetic moment (Bohr magnetons per cell): 0.0

Unit cell a=4.8661 b=4.8661 c=4.8661 alpha=60.00 beta=60.00 gamma=60.00
Last column: nearest neighbours and their distance in Å.
Fractional coordinates of all 4 atoms:
Bi 0.2500 0.2500 0.2500  4 C 2.98, 4 P 2.98
Bi 0.7500 0.7500 0.7500  4 C 2.98, 4 P 2.98
P 0.0000 0.0000 0.0000  8 Bi 2.98
C 0.5000 0.5000 0.5000  8 Bi 2.98

---

# 9
Here is BiPC3 after structural relaxation from Alexandria. Energies are from PBE.

ρ (g/cm³): 5.10
Energy (eV/cell): -19.0
Formation enthalpy at 0 K (eV/atom): 3.59
Total magnetic moment (Bohr magnetons per cell): 1.6

Unit cell a=4.4792 b=4.4792 c=4.4792 alpha=90.00 beta=90.00 gamma=90.00
Last column: nearest neighbours and their distance in Å.
Fractional coordinates of all 5 atoms:
Bi 0.0000 0.0000 0.0000  6 C 2.24
P 0.5000 0.5000 0.5000  12 C 3.17
C 0.0000 0.0000 0.5000  2 Bi 2.24
C 0.0000 0.5000 0.0000  2 Bi 2.24
C 0.5000 0.0000 0.0000  2 Bi 2.24

---

# 10
Here is Bi2PPbC after structural relaxation from Alexandria. Energies are from PBE.

ρ (g/cm³): 8.69
Energy (eV/cell): -21.9
Formation enthalpy at 0 K (eV/atom): 0.85
Total magnetic moment (Bohr magnetons per cell): 0.0

Unit cell a=5.8379 b=5.8379 c=3.7443 alpha=90.00 beta=90.00 gamma=90.00
Last column: nearest neighbours and their distance in Å.
Fractional coordinates of all 5 atoms:
Bi 0.0000 0.5000 0.0000  2 C 2.92
Bi 0.5000 0.0000 0.0000  2 C 2.92
P 0.0000 0.0000 0.5000  2 C 1.87
Pb 0.5000 0.5000 0.5000  8 Bi 3.47, 2 Pb 3.74
C 0.0000 0.0000 0.0000  2 P 1.87

---

# 11
Here is BiP2CS after structural relaxation from Alexandria. Energies are from PBE.

ρ (g/cm³): 3.44
Energy (eV/cell): -15.5
Total magnetic moment (Bohr magnetons per cell): 1.2

Unit cell a=5.4114 b=5.4114 c=5.1968 alpha=90.00 beta=90.00 gamma=90.00
Last column: nearest neighbours and their distance in Å.
Fractional coordinates of all 5 atoms:
Bi 0.0000 0.0000 0.0000  2 S 2.60, 4 P 2.71
P 0.0000 0.5000 0.0000  2 Bi 2.71
P 0.5000 0.0000 0.0000  2 Bi 2.71
C 0.5000 0.5000 0.5000  8 P 3.75, 4 S 3.83
S 0.0000 0.0000 0.5000  2 Bi 2.60

---

# 12
Here is BiP2CS after structural relaxation from Alexandria. Energies are from PBE.

ρ (g/cm³): 6.54
Energy (eV/cell): -22.9
Total magnetic moment (Bohr magnetons per cell): 0.0

Unit cell a=4.2412 b=4.2412 c=4.4460 alpha=90.00 beta=90.00 gamma=90.00
Last column: nearest neighbours and their distance in Å.
Fractional coordinates of all 5 atoms:
Bi 0.0000 0.0000 0.0000  4 S 3.00, 8 P 3.07
P 0.0000 0.5000 0.5000  2 C 2.12
P 0.5000 0.0000 0.5000  2 C 2.12
C 0.5000 0.5000 0.5000  4 P 2.12, 2 S 2.22
S 0.5000 0.5000 0.0000  2 C 2.22